Compound: Rb2MnGaO4
Source: Alexandria
Functional: GGA+U
Structure: relaxed

Values from the calculation:
For the volume, the calculation gives 21.28 Å³ per atom. As for the electronic total energy: -5.57 eV per atom. As for the symmetry: Fddd, No. 70.

The structure in POSCAR format:
```
Rb2MnGaO4
1.0
0.000 6.342 10.034
2.675 0.000 10.034
2.675 6.342 0.000
Rb Mn Ga O
4 2 2 8
direct
0.055 0.055 0.695
0.305 0.305 0.945
0.695 0.695 0.055
0.945 0.945 0.305
0.125 0.125 0.125
0.875 0.875 0.875
0.375 0.375 0.375
0.625 0.625 0.625
0.001 0.678 0.566
0.254 0.566 0.678
0.322 0.999 0.746
0.434 0.746 0.999
0.566 0.254 0.001
0.678 0.001 0.254
0.746 0.434 0.322
0.999 0.322 0.434
```